Computed, not measured: a geometry-optimized LiSn2Au2 structure at the GGA-PBE level of DFT.

Properties
energy of formation: -0.2655 eV per atom
symmetry: No. 36
size of the total moment: 0.000 μB per formula unit

Cell: 4.448 7.095 7.295 Å, 90.00 107.75 90.00°
Fractional positions:
Sn 0.184 0.847 0.369
Sn 0.962 0.747 0.923
Sn 0.038 0.247 0.077
Sn 0.816 0.347 0.631
Au 0.794 0.957 0.589
Au 0.206 0.457 0.411
Au 0.422 0.501 0.844
Au 0.578 0.001 0.156
Li 0.391 0.083 0.782
Li 0.609 0.583 0.218

Computed, not measured: a geometry-optimized Li2Sn2Au structure at the GGA-PBE level of DFT.

Properties
energy of formation: -0.3065 eV per atom
symmetry: No. 127
size of the total moment: 0.000 μB per formula unit

Cell: 7.074 7.074 4.397 Å, 90.00 90.00 90.00°
Fractional positions:
Sn 0.857 0.643 0.000
Sn 0.357 0.857 0.000
Sn 0.643 0.143 0.000
Sn 0.143 0.357 0.000
Li 0.157 0.657 0.500
Li 0.343 0.157 0.500
Li 0.843 0.343 0.500
Li 0.657 0.843 0.500
Au 0.000 0.000 0.000
Au 0.500 0.500 0.000

Computed, not measured: a geometry-optimized LiSnAu4 structure at the GGA-PBE level of DFT.

Properties
energy of formation: -0.2158 eV per atom
symmetry: No. 12
size of the total moment: 0.000 μB per formula unit

Cell: 3.330 6.015 7.334 Å, 119.19 76.88 73.93°
Fractional positions:
Au 0.826 0.509 0.839
Au 0.343 0.999 0.316
Au 0.657 0.001 0.684
Au 0.174 0.491 0.161
Sn 0.500 0.500 0.500
Li 0.000 0.000 0.000

Computed, not measured: a geometry-optimized LiSn4Au5 structure at the GGA-PBE level of DFT.

Properties
energy of formation: -0.1860 eV per atom
symmetry: No. 87
size of the total moment: 0.000 μB per formula unit

Cell: 5.660 6.999 6.999 Å, 80.59 66.15 66.15°
Fractional positions:
Sn 0.222 0.156 0.403
Sn 0.780 0.844 0.597
Sn 0.378 0.403 0.844
Sn 0.624 0.597 0.156
Au 0.319 0.765 0.600
Au 0.501 0.000 0.000
Au 0.683 0.235 0.400
Au 0.084 0.600 0.235
Au 0.918 0.400 0.765
Li 0.001 0.000 0.000